# 1
{"formula": "LaScAs", "functional": "PBE", "state": "relaxed", "cell": [[0.0000, 3.5563, 3.5563], [3.5563, 0.0000, 3.5563], [3.5563, 3.5563, 0.0000]], "species": ["La", "Sc", "As"], "frac_coords": [[0.0000, 0.0000, 0.0000], [0.2500, 0.2500, 0.2500], [0.7500, 0.7500, 0.7500]], "magnetic_moment_mub_per_fu": 2.028, "e_form_ev_per_atom": 0.17}

# 2
{"formula": "LaSc2As", "functional": "PBE", "state": "relaxed", "cell": [[-2.2133, 2.2133, 4.8856], [2.2133, -2.2133, 4.8856], [2.2133, 2.2133, -4.8856]], "species": ["La", "Sc", "Sc", "As"], "frac_coords": [[0.0000, 0.0000, 0.0000], [0.2500, 0.7500, 0.5000], [0.7500, 0.2500, 0.5000], [0.5000, 0.5000, 0.0000]], "magnetic_moment_mub_per_fu": 0.001, "e_form_ev_per_atom": -0.40}

# 3
{"formula": "LaSc2As", "functional": "PBE", "state": "relaxed", "cell": [[4.5567, 0.0000, 0.0000], [0.0000, 4.5567, 0.0000], [0.0000, 0.0000, 4.4355]], "species": ["La", "Sc", "Sc", "As"], "frac_coords": [[0.0000, 0.0000, 0.0000], [0.0000, 0.5000, 0.5000], [0.5000, 0.0000, 0.5000], [0.5000, 0.5000, 0.0000]], "magnetic_moment_mub_per_fu": 0.000, "e_form_ev_per_atom": -0.45}

# 4
{"formula": "LaSc2As", "functional": "PBE", "state": "relaxed", "cell": [[4.4068, 0.0000, 0.0000], [0.0000, 2.0001, 5.8346], [0.0000, -2.0001, 5.8346]], "species": ["La", "Sc", "Sc", "As"], "frac_coords": [[0.0000, 0.0000, 0.0000], [0.0000, 0.2766, 0.2766], [0.5000, 0.7131, 0.7131], [0.5000, 0.4109, 0.4109]], "magnetic_moment_mub_per_fu": 0.001, "e_form_ev_per_atom": -0.60}

# 5
{"formula": "LaSc2As", "functional": "PBE", "state": "relaxed", "cell": [[1.8065, 1.0430, 9.9460], [-1.8065, 1.0430, 9.9460], [0.0000, -2.0859, 9.9460]], "species": ["La", "Sc", "Sc", "As"], "frac_coords": [[0.0000, 0.0000, 0.0000], [0.1130, 0.1130, 0.1130], [0.8870, 0.8870, 0.8870], [0.5000, 0.5000, 0.5000]], "magnetic_moment_mub_per_fu": 0.000, "e_form_ev_per_atom": -0.40}

# 6
{"formula": "LaSc2As2", "functional": "PBE", "state": "relaxed", "cell": [[-2.5418, 2.5418, 4.8861], [2.5418, -2.5418, 4.8861], [2.5418, 2.5418, -4.8861]], "species": ["La", "Sc", "Sc", "As", "As"], "frac_coords": [[0.0000, 0.0000, 0.0000], [0.3333, 0.3333, 0.0000], [0.6667, 0.6667, 0.0000], [0.2500, 0.7500, 0.5000], [0.7500, 0.2500, 0.5000]], "magnetic_moment_mub_per_fu": 0.980, "relative_energy_mev_per_atom": 190.6, "e_form_ev_per_atom": -0.88}

# 7
{"formula": "La3ScAs", "functional": "PBE", "state": "relaxed", "cell": [[5.7525, 0.0000, 0.0000], [0.0000, 5.7525, 0.0000], [0.0000, 0.0000, 5.7525]], "species": ["La", "La", "La", "Sc", "As"], "frac_coords": [[0.0000, 0.0000, 0.5000], [0.0000, 0.5000, 0.0000], [0.5000, 0.0000, 0.0000], [0.5000, 0.5000, 0.5000], [0.0000, 0.0000, 0.0000]], "magnetic_moment_mub_per_fu": 0.002, "relative_energy_mev_per_atom": 0.0, "e_form_ev_per_atom": -0.25}

# 8
{"formula": "LaSc2As", "functional": "PBE", "state": "relaxed", "cell": [[3.7075, 0.0000, 0.0000], [0.0000, 3.7075, 0.0000], [0.0000, 0.0000, 7.2887]], "species": ["La", "Sc", "Sc", "As"], "frac_coords": [[0.0000, 0.0000, 0.0000], [0.0000, 0.0000, 0.5747], [0.5000, 0.5000, 0.3254], [0.5000, 0.5000, 0.7149]], "magnetic_moment_mub_per_fu": 0.001, "e_form_ev_per_atom": -0.58}

# 9
{"formula": "LaScAs3", "functional": "PBE", "state": "relaxed", "cell": [[5.0635, 0.0000, 0.0000], [0.0000, 5.0635, 0.0000], [0.0000, 0.0000, 5.0635]], "species": ["La", "Sc", "As", "As", "As"], "frac_coords": [[0.0000, 0.0000, 0.0000], [0.5000, 0.5000, 0.5000], [0.0000, 0.5000, 0.5000], [0.5000, 0.0000, 0.5000], [0.5000, 0.5000, 0.0000]], "magnetic_moment_mub_per_fu": 0.000, "relative_energy_mev_per_atom": 0.0, "e_form_ev_per_atom": -0.63}

# 10
{"formula": "LaSc2As", "functional": "PBE", "state": "relaxed", "cell": [[1.9070, 1.1010, 8.9766], [-1.9070, 1.1010, 8.9766], [0.0000, -2.2021, 8.9766]], "species": ["La", "Sc", "Sc", "As"], "frac_coords": [[0.0000, 0.0000, 0.0000], [0.2258, 0.2258, 0.2258], [0.4630, 0.4630, 0.4630], [0.7412, 0.7412, 0.7412]], "magnetic_moment_mub_per_fu": 1.258, "e_form_ev_per_atom": -0.45}

# 11
{"formula": "LaScAs", "functional": "PBE", "state": "relaxed", "cell": [[4.2450, 0.0000, 0.0000], [0.0000, 4.2450, 0.0000], [0.0000, 0.0000, 8.3472]], "species": ["La", "La", "Sc", "Sc", "As", "As"], "frac_coords": [[0.2500, 0.2500, 0.1481], [0.7500, 0.7500, 0.8519], [0.2500, 0.7500, 0.5000], [0.7500, 0.2500, 0.5000], [0.2500, 0.2500, 0.7371], [0.7500, 0.7500, 0.2629]], "magnetic_moment_mub_per_fu": 0.688, "e_form_ev_per_atom": -1.02}

# 12
{"formula": "LaSc2As", "functional": "PBE", "state": "relaxed", "cell": [[-2.2097, 2.2097, 4.8405], [2.2097, -2.2097, 4.8405], [2.2097, 2.2097, -4.8405]], "species": ["La", "Sc", "Sc", "As"], "frac_coords": [[0.0000, 0.0000, 0.0000], [0.2500, 0.7500, 0.5000], [0.5000, 0.5000, 0.0000], [0.7500, 0.2500, 0.5000]], "magnetic_moment_mub_per_fu": 0.002, "e_form_ev_per_atom": -0.39}

# 13
{"formula": "LaSc2As", "functional": "PBE", "state": "relaxed", "cell": [[1.8662, 1.0774, 8.9116], [-1.8662, 1.0774, 8.9116], [0.0000, -2.1549, 8.9116]], "species": ["La", "Sc", "Sc", "As"], "frac_coords": [[0.0000, 0.0000, 0.0000], [0.2252, 0.2252, 0.2252], [0.7748, 0.7748, 0.7748], [0.5000, 0.5000, 0.5000]], "magnetic_moment_mub_per_fu": 0.000, "e_form_ev_per_atom": -0.55}

# 14
{"formula": "LaScAs3", "functional": "PBE", "state": "relaxed", "cell": [[5.4582, 0.0000, 0.0000], [0.0000, 5.4582, 0.0000], [0.0000, 0.0000, 5.4582]], "species": ["La", "Sc", "As", "As", "As"], "frac_coords": [[0.0000, 0.0000, 0.0000], [0.5000, 0.5000, 0.5000], [0.0000, 0.0000, 0.5000], [0.0000, 0.5000, 0.0000], [0.5000, 0.0000, 0.0000]], "magnetic_moment_mub_per_fu": 0.000, "relative_energy_mev_per_atom": 1030.3, "e_form_ev_per_atom": 0.40}

# 15
{"formula": "LaSc2As", "functional": "PBE", "state": "relaxed", "cell": [[3.5766, 0.0000, 0.0000], [0.0000, 3.5766, 0.0000], [0.0000, 0.0000, 7.3661]], "species": ["La", "Sc", "Sc", "As"], "frac_coords": [[0.0000, 0.0000, 0.0000], [0.5000, 0.5000, 0.3070], [0.5000, 0.5000, 0.6930], [0.0000, 0.0000, 0.5000]], "magnetic_moment_mub_per_fu": 0.000, "e_form_ev_per_atom": -0.54}